# 1
First-principles (PBE) data for crystalline NbCoSe2 at its relaxed geometry, as listed in Alexandria via LeMat-Bulk.

abc: 8.3277 8.3277 8.3277
angles: 23.16 23.16 23.16
Element x y z (fractional)
1 Nb 0.5000 0.5000 0.5000
2 Se 0.9060 0.9060 0.9060
3 Co 0.0000 0.0000 0.0000
4 Se 0.0940 0.0940 0.0940

Calculated values
* uncorrected formation energy: -0.73 eV/f.u.
* DOS at the Fermi energy: 3.6 states/eV per cell
* size of the total moment: 1.62 μB/f.u.



# 2
First-principles (PBE) data for crystalline NaLaTm2Tl4 at its relaxed geometry, as listed in Alexandria via LeMat-Bulk.

abc: 5.3713 5.3713 9.5546
angles: 73.68 73.68 60.00
Element x y z (fractional)
1 Tl 0.6213 0.6213 0.1361
2 La 0.0000 0.0000 0.0000
3 Tl 0.1278 0.1278 0.6166
4 Tl 0.3787 0.3787 0.8639
5 Tm 0.2462 0.2462 0.2615
6 Na 0.5000 0.5000 0.5000
7 Tm 0.7538 0.7538 0.7385
8 Tl 0.8722 0.8722 0.3834

Calculated values
* ΔE_f: -0.282 eV per atom
* DOS at the Fermi energy: 4.8 states/eV per cell
* size of the total moment: 0.00 μB/f.u.



# 3
First-principles (PBE) data for crystalline Er2Si4TcPt3 at its relaxed geometry, as listed in Alexandria via LeMat-Bulk.

abc: 4.1624 4.1624 9.8842
angles: 90.00 90.00 90.00
Element x y z (fractional)
1 Si 0.0000 0.5000 0.3715
2 Pt 0.5000 0.0000 0.8720
3 Er 0.5000 0.0000 0.2476
4 Si 0.5000 0.5000 0.0000
5 Tc 0.5000 0.5000 0.5000
6 Pt 0.0000 0.5000 0.1280
7 Er 0.0000 0.5000 0.7524
8 Si 0.5000 0.0000 0.6285
9 Pt 0.0000 0.0000 0.5000
10 Si 0.0000 0.0000 0.0000

Calculated values
* uncorrected formation energy: -10.14 eV/f.u.
* DOS at the Fermi energy: 6.0 states/eV per cell
* size of the total moment: 0.00 μB/f.u.



# 4
First-principles (PBE) data for crystalline Pr8Si2N at its relaxed geometry, as listed in Alexandria via LeMat-Bulk.

abc: 4.3553 7.0541 11.1868
angles: 110.32 101.22 90.00
Element x y z (fractional)
1 Pr 0.2138 0.3302 0.4275
2 Pr 0.5803 0.3597 0.1606
3 Pr 0.4197 0.6403 0.8394
4 Pr 0.9460 0.1177 0.8920
5 Pr 0.6847 0.9772 0.3694
6 Si 0.8319 0.3242 0.6639
7 Si 0.1681 0.6758 0.3361
8 Pr 0.0540 0.8823 0.1080
9 Pr 0.7862 0.6698 0.5725
10 Pr 0.3153 0.0228 0.6306
11 N 0.5000 0.0000 0.0000

Calculated values
* uncorrected formation energy: -3.22 eV/f.u.
* DOS at the Fermi energy: 12.0 states/eV per cell
* size of the total moment: 0.00 μB/f.u.



# 5
First-principles (PBE) data for crystalline Y2SiAu at its relaxed geometry, as listed in Alexandria via LeMat-Bulk.

abc: 5.6728 5.6728 8.9291
angles: 71.48 71.48 90.00
Element x y z (fractional)
1 Si 0.2500 0.7500 0.5000
2 Y 0.3750 0.3872 0.7500
3 Y 0.6128 0.1250 0.2500
4 Y 0.1372 0.6250 0.2500
5 Si 0.5000 0.5000 0.0000
6 Y 0.8750 0.8628 0.7500
7 Au 0.7500 0.2500 0.5000
8 Au 0.0000 0.0000 0.0000

Calculated values
* uncorrected formation energy: -0.26 eV/f.u.
* DOS at the Fermi energy: 5.2 states/eV per cell
* size of the total moment: 0.00 μB/f.u.



# 6
First-principles (PBE) data for crystalline AlMoW3 at its relaxed geometry, as listed in Alexandria via LeMat-Bulk.

abc: 4.4881 4.4881 4.4881
angles: 90.00 90.00 90.00
Element x y z (fractional)
1 Mo 0.5000 0.5000 0.5000
2 W 0.0000 0.5000 0.0000
3 W 0.5000 0.0000 0.0000
4 W 0.0000 0.0000 0.5000
5 Al 0.0000 0.0000 0.0000

Calculated values
* E above lowest polymorph: 1888 meV/atom
* ΔE_f: 1.846 eV per atom
* DOS at the Fermi energy: 4.4 states/eV per cell
* size of the total moment: 0.00 μB/f.u.



# 7
First-principles (PBE) data for crystalline NdAg2F8 at its relaxed geometry, as listed in Alexandria via LeMat-Bulk.

abc: 4.1939 7.1723 7.1758
angles: 120.03 90.00 90.02
Element x y z (fractional)
1 F 0.7297 0.3206 0.1611
2 Ag 0.2717 0.3332 0.6666
3 F 0.2703 0.6794 0.8389
4 F 0.2701 0.1612 0.8406
5 F 0.2701 0.1596 0.3206
6 F 0.7299 0.8388 0.1594
7 F 0.2281 0.6668 0.3333
8 Ag 0.7283 0.6668 0.3333
9 F 0.7719 0.3332 0.6667
10 F 0.7299 0.8404 0.6793
11 Nd 0.0000 0.0000 0.0000

Calculated values
* uncorrected formation energy: -21.80 eV/f.u.
* DOS at the Fermi energy: 13.3 states/eV per cell
* size of the total moment: 1.12 μB/f.u.



# 8
First-principles (PBE) data for crystalline SmEr3Th4Se8 at its relaxed geometry, as listed in Alexandria via LeMat-Bulk.

abc: 8.0673 8.4972 8.0669
angles: 118.34 120.00 90.00
Element x y z (fractional)
1 Se 0.7436 0.7305 0.4872
2 Er 0.5000 0.5000 0.0000
3 Th 0.5000 0.0000 0.5000
4 Se 0.2476 0.7341 0.9866
5 Th 0.0000 0.0000 0.5000
6 Se 0.2564 0.2695 0.5128
7 Se 0.7524 0.2659 0.0134
8 Th 0.5000 0.0000 0.0000
9 Er 0.5000 0.5000 0.5000
10 Se 0.2611 0.2659 0.0134
11 Se 0.2475 0.7343 0.4949
12 Sm 0.0000 0.5000 0.0000
13 Se 0.7525 0.2657 0.5051
14 Th 0.0000 0.0000 0.0000
15 Se 0.7389 0.7341 0.9866
16 Er 0.0000 0.5000 0.5000

Calculated values
* uncorrected formation energy: -26.12 eV/f.u.
* DOS at the Fermi energy: 6.1 states/eV per cell
* size of the total moment: 0.00 μB/f.u.



# 9
First-principles (PBE) data for crystalline HoTh5Os4 at its relaxed geometry, as listed in Alexandria via LeMat-Bulk.

abc: 4.6090 7.1928 9.7837
angles: 120.68 103.62 90.00
Element x y z (fractional)
1 Th 0.8344 0.6451 0.6687
2 Th 0.5000 0.5000 0.0000
3 Os 0.3075 0.8419 0.6150
4 Ho 0.5000 0.0000 0.0000
5 Th 0.8380 0.1426 0.6760
6 Th 0.1620 0.8574 0.3240
7 Os 0.0155 0.3160 0.0310
8 Os 0.6925 0.1581 0.3850
9 Th 0.1656 0.3549 0.3313
10 Os 0.9845 0.6840 0.9690

Calculated values
* ΔE_f: -0.192 eV per atom
* DOS at the Fermi energy: 6.7 states/eV per cell
* size of the total moment: 0.00 μB/f.u.



# 10
First-principles (PBE) data for crystalline LiDyY2Te4 at its relaxed geometry, as listed in Alexandria via LeMat-Bulk.

abc: 4.3195 7.5227 7.5277
angles: 109.18 90.00 90.00
Element x y z (fractional)
1 Li 0.0000 0.0000 0.0000
2 Te 0.0000 0.2450 0.7560
3 Te 0.0000 0.7550 0.2440
4 Te 0.5000 0.2419 0.2414
5 Y 0.0000 0.5000 0.5000
6 Dy 0.5000 0.5000 0.0000
7 Te 0.5000 0.7581 0.7586
8 Y 0.5000 0.0000 0.5000

Calculated values
* uncorrected formation energy: -10.59 eV/f.u.
* DOS at the Fermi energy: 3.3 states/eV per cell
* size of the total moment: 0.00 μB/f.u.



# 11
First-principles (PBE) data for crystalline SrDyPu2S4 at its relaxed geometry, as listed in Alexandria via LeMat-Bulk.

abc: 4.0070 6.9457 7.0192
angles: 70.45 90.00 90.00
Element x y z (fractional)
1 Dy 0.0000 0.5000 0.5000
2 S 0.5000 0.7515 0.2573
3 S 0.0000 0.7581 0.7357
4 Pu 0.5000 0.0000 0.5000
5 S 0.5000 0.2485 0.7427
6 Pu 0.0000 0.0000 0.0000
7 S 0.0000 0.2419 0.2643
8 Sr 0.5000 0.5000 0.0000

Calculated values
* uncorrected formation energy: -14.80 eV/f.u.
* DOS at the Fermi energy: 20.9 states/eV per cell
* size of the total moment: 0.07 μB/f.u.



# 12
First-principles (PBE) data for crystalline HoPuThZr at its relaxed geometry, as listed in Alexandria via LeMat-Bulk.

abc: 5.3791 5.3791 5.3791
angles: 60.00 60.00 60.00
Element x y z (fractional)
1 Th 0.0000 0.0000 0.0000
2 Zr 0.2500 0.2500 0.2500
3 Ho 0.5000 0.5000 0.5000
4 Pu 0.7500 0.7500 0.7500

Calculated values
* ΔE_f: 0.210 eV per atom
* DOS at the Fermi energy: 13.6 states/eV per cell
* size of the total moment: 5.69 μB/f.u.